Record 1
First-principles (PBEsol) data for a geometry-optimized Al2OsRh structure, as listed in Alexandria.

Unit cell a=4.874 b=4.874 c=4.365 alpha=108.83 beta=108.83 gamma=34.02
Atoms (fractional coordinates):
Al: 0.000 0.000 0.000
Al: 0.235 0.235 0.605
Os: 0.746 0.746 0.104
Rh: 0.489 0.489 0.502

Summary:
The value obtained for the total magnetization is 0.0 μB/f.u. The value obtained for the density of states at the Fermi level is 2.06 states/eV per cell. The calculated formation energy is -2.27 eV/f.u. Its total energy is -7.70 eV per atom.

=====

Record 2
First-principles (PBEsol) data for a geometry-optimized Al2OsRh structure, as listed in Alexandria.

Unit cell a=4.210 b=4.210 c=2.988 alpha=90.00 beta=90.00 gamma=90.00
Atoms (fractional coordinates):
Al: 0.000 0.500 0.000
Al: 0.500 0.000 0.000
Os: 0.000 0.000 0.500
Rh: 0.500 0.500 0.500

Summary:
The value obtained for the total magnetization is 0.0 μB/f.u. The value obtained for the density of states at the Fermi level is 2.27 states/eV per cell. The calculated formation energy is -3.01 eV/f.u. Its total energy is -7.89 eV per atom.

=====

Record 3
First-principles (PBEsol) data for a geometry-optimized AlOsRh structure, as listed in Alexandria.

Unit cell a=4.640 b=4.640 c=4.640 alpha=145.80 beta=132.23 gamma=60.05
Atoms (fractional coordinates):
Al: 0.000 0.000 0.000
Os: 0.335 0.335 0.000
Rh: 0.665 0.665 0.000

Summary:
The value obtained for the total magnetization is 0.0 μB/f.u. The value obtained for the density of states at the Fermi level is 3.41 states/eV per cell. The calculated formation energy is -0.51 eV/f.u. Its total energy is -8.32 eV per atom.